Below is an optimized crystal structure of CaIn2Ru, with properties calculated at the PBE level.

The structure in POSCAR format:
```
CaIn2Ru
1.0
4.349 0.000 0.000
0.000 4.349 0.000
0.000 0.000 4.472
Ca In Ru
1 2 1
Direct
0.000 0.000 0.000 Ca
0.000 0.500 0.500 In
0.500 0.000 0.500 In
0.500 0.500 0.000 Ru
```

## Properties
The symmetry is P4/mmm, No. 123. Its magnetic moment is 0.00 μB per formula unit. For the calculated formation energy, the calculation gives 0.06 eV/atom. For the total energy, the calculation gives -4.1297 eV per atom.

***

Below is an optimized crystal structure of CaIn2Ru, with properties calculated at the PBE level.

The structure in POSCAR format:
```
CaIn2Ru
1.0
-2.257 2.257 4.055
2.257 -2.257 4.055
2.257 2.257 -4.055
Ca In Ru
1 2 1
Direct
0.000 0.000 0.000 Ca
0.250 0.750 0.500 In
0.750 0.250 0.500 In
0.500 0.500 0.000 Ru
```

## Properties
The symmetry is I4/mmm, No. 139. Its magnetic moment is 0.00 μB per formula unit. For the calculated formation energy, the calculation gives -0.07 eV/atom. For the total energy, the calculation gives -4.2625 eV per atom.

***

Question: Which value of magnetic moment does entry 1 give?
Answer: 0.00 μB per formula unit

***

Question: What is the formula in the second record?
Answer: CaIn2Ru